Record 1
16
Lattice="7.318 0.000 0.000 -3.659 6.337 0.000 0.000 0.000 11.916" Properties=species:S:1:pos:R:3 comment="Na15Sn PBE-GGA optimized geometry" spacegroup="P-6m2, No. 187" energy_ev_per_cell=-24.0 pbc="T T T"
Na 0.000 0.000 0.000
Na -1.803 3.184 5.958
Na 1.762 1.017 3.163
Na 1.762 1.017 8.753
Na 0.000 4.225 2.865
Na 0.000 4.225 9.051
Na 1.803 3.184 5.958
Na 0.000 6.307 5.958
Na 3.659 0.040 0.000
Na 1.864 3.149 0.000
Na 5.555 1.017 3.163
Na 5.555 1.017 8.753
Na 3.659 4.302 3.163
Na 3.659 4.302 8.753
Na 5.454 3.149 0.000
Sn 0.000 0.000 5.958

Record 2
13
Lattice="0.000 6.378 6.378 6.378 0.000 6.378 6.378 6.378 0.000" Properties=species:S:1:pos:R:3 comment="NaSn12 PBE-GGA optimized geometry" de_polymorph_ev_per_fu=2.07 spacegroup="Fm-3m, No. 225" energy_ev_per_cell=-45.8 pbc="T T T"
Na 0.000 0.000 0.000
Sn 6.378 4.214 4.214
Sn 8.542 6.378 4.214
Sn 8.542 4.214 6.378
Sn 4.214 6.378 4.214
Sn 6.378 8.542 4.214
Sn 4.214 4.214 6.378
Sn 8.542 8.542 6.378
Sn 6.378 4.214 8.542
Sn 8.542 6.378 8.542
Sn 4.214 8.542 6.378
Sn 4.214 6.378 8.542
Sn 6.378 8.542 8.542

Record 3
12
Lattice="6.403 0.000 0.000 0.000 6.403 0.000 0.000 0.000 8.896" Properties=species:S:1:pos:R:3 comment="NaSn5 PBE-GGA optimized geometry" de_polymorph_ev_per_fu=0.00 spacegroup="P-42_1m, No. 113" energy_ev_per_cell=-43.5 pbc="T T T"
Na 0.000 3.201 1.835
Na 3.201 0.000 7.060
Sn 0.000 0.000 0.000
Sn 1.009 2.192 7.251
Sn 1.590 4.791 4.469
Sn 1.612 1.590 4.427
Sn 2.192 5.393 1.645
Sn 3.201 3.201 0.000
Sn 4.211 1.009 1.645
Sn 4.791 4.813 4.427
Sn 4.813 1.612 4.469
Sn 5.393 4.211 7.251

Record 4
9
Lattice="-5.230 5.230 2.714 5.230 -5.230 2.714 5.230 5.230 -2.714" Properties=species:S:1:pos:R:3 comment="Na8Sn PBE-GGA optimized geometry" de_polymorph_ev_per_fu=0.00 spacegroup="I4/mmm, No. 139" energy_ev_per_cell=-14.9 pbc="T T T"
Na 3.338 0.000 0.000
Na 7.122 0.000 0.000
Na 0.000 3.338 0.000
Na 3.626 3.626 0.000
Na 1.604 -1.604 2.714
Na -1.604 1.604 2.714
Na 1.604 1.604 2.714
Na 0.000 7.122 0.000
Sn 0.000 0.000 0.000

Record 5
6
Lattice="5.655 -2.230 0.000 5.655 2.230 0.000 -2.139 0.000 6.513" Properties=species:S:1:pos:R:3 comment="NaSn5 PBE-GGA optimized geometry" de_polymorph_ev_per_fu=0.17 spacegroup="C2/m, No. 12" energy_ev_per_cell=-21.6 pbc="T T T"
Na 0.000 0.000 0.000
Sn -1.070 0.000 3.257
Sn 3.331 0.000 1.093
Sn 2.352 0.000 4.288
Sn 6.819 0.000 2.225
Sn 5.840 0.000 5.420

Record 6
7
Lattice="5.405 -3.261 0.000 5.405 3.261 0.000 -5.052 0.000 5.875" Properties=species:S:1:pos:R:3 comment="Na2Sn5 PBE-GGA optimized geometry" spacegroup="C2/m, No. 12" energy_ev_per_cell=-23.0 pbc="T T T"
Na 1.795 0.000 0.658
Na 3.964 0.000 5.218
Sn 1.500 1.754 3.592
Sn 4.259 1.754 2.283
Sn 5.405 0.000 0.000
Sn 1.500 -1.754 3.592
Sn 4.259 -1.754 2.283

Record 7
4
Lattice="-2.113 2.657 5.012 2.113 -2.657 5.012 2.113 2.657 -5.012" Properties=species:S:1:pos:R:3 comment="Na3Sn PBE-GGA optimized geometry" spacegroup="Immm, No. 71" energy_ev_per_cell=-8.5 pbc="T T T"
Na 0.000 0.000 0.000
Na 2.113 0.000 2.517
Na 0.000 2.657 2.495
Sn 0.000 0.000 5.012

Record 8
7
Lattice="2.703 1.561 8.130 -2.703 1.561 8.130 0.000 -3.121 8.130" Properties=species:S:1:pos:R:3 comment="Na5Sn2 PBE-GGA optimized geometry" spacegroup="R-3m, No. 166" energy_ev_per_cell=-15.2 pbc="T T T"
Na 0.000 0.000 0.000
Na 0.000 0.000 6.756
Na 0.000 0.000 10.554
Na 0.000 0.000 13.837
Na 0.000 0.000 17.635
Sn 0.000 0.000 3.482
Sn 0.000 0.000 20.909